[1]
# Sc2AlBi

A relaxed Sc2AlBi crystal (PBE, Alexandria via LeMat-Bulk).

Cell and atoms, written as POSCAR:
```
Sc2AlBi
1.0
7.827 0.000 0.000
0.000 7.827 0.000
3.913 3.913 3.192
Sc Al Bi
4 2 2
direct
0.135 0.625 0.250 Sc
0.615 0.125 0.250 Sc
0.375 0.385 0.750 Sc
0.875 0.865 0.750 Sc
0.250 0.750 0.500 Al
0.500 0.500 0.000 Al
0.000 0.000 0.000 Bi
0.750 0.250 0.500 Bi
```

Output
* formation energy from the elements: -0.150 eV/atom

[2]
# RbYSnSe3

A relaxed RbYSnSe3 crystal (PBE, Alexandria via LeMat-Bulk).

Cell and atoms, written as POSCAR:
```
RbYSnSe3
1.0
-1.891 -2.282 2.877
7.955 1.724 3.630
-4.415 9.920 4.965
Se Y Rb Sn
6 2 2 2
direct
0.387 0.774 0.995 Se
0.613 0.226 0.005 Se
0.387 0.774 0.505 Se
0.005 0.010 0.250 Se
0.995 0.990 0.750 Se
0.613 0.226 0.495 Se
0.000 0.000 0.500 Y
0.000 0.000 0.000 Y
0.688 0.375 0.750 Rb
0.312 0.625 0.250 Rb
0.612 0.225 0.250 Sn
0.388 0.775 0.750 Sn
```

Output
* energy relative to the elements, uncorrected: -1192 meV per atom

[3]
# Mg3TcOs

A relaxed Mg3TcOs crystal (PBE, Alexandria via LeMat-Bulk).

Cell and atoms, written as POSCAR:
```
Mg3TcOs
1.0
-0.753 -3.656 3.169
3.493 -2.630 -2.204
3.348 1.922 3.013
Mg Tc Os
3 1 1
direct
0.500 0.000 0.000 Mg
0.000 0.000 0.500 Mg
0.000 0.500 0.000 Mg
0.500 0.500 0.500 Tc
0.000 0.000 0.000 Os
```

Output
* formation energy from the elements: 1.227 eV/atom
* energy above the lowest structure with this stoichiometry: 0.000 eV/atom

[4]
# PrSm2Te4

A relaxed PrSm2Te4 crystal (PBE, Alexandria via LeMat-Bulk).

Cell and atoms, written as POSCAR:
```
PrSm2Te4
1.0
4.359 0.000 0.000
-2.179 7.321 0.000
0.000 0.000 15.242
Sm Te Pr
4 8 2
direct
0.131 0.263 0.068 Sm
0.131 0.263 0.432 Sm
0.869 0.737 0.568 Sm
0.869 0.737 0.932 Sm
0.223 0.446 0.622 Te
0.777 0.554 0.122 Te
0.223 0.446 0.878 Te
0.036 0.072 0.250 Te
0.964 0.928 0.750 Te
0.500 0.000 0.000 Te
0.777 0.554 0.378 Te
0.500 0.000 0.500 Te
0.625 0.251 0.750 Pr
0.375 0.749 0.250 Pr
```

Output
* energy relative to the elements, uncorrected: -1415 meV per atom

[5]
# Cd3H4Ru

A relaxed Cd3H4Ru crystal (PBE, Alexandria via LeMat-Bulk).

Cell and atoms, written as POSCAR:
```
Cd3H4Ru
1.0
4.362 0.000 -2.041
-1.090 4.549 -2.330
-0.059 -0.170 5.557
Ru H Cd
1 4 3
direct
0.439 0.500 0.000 Ru
0.183 0.302 0.604 H
0.579 0.698 0.396 H
0.654 0.751 0.000 H
0.654 0.249 0.000 H
0.268 0.000 0.000 Cd
0.766 0.330 0.659 Cd
0.107 0.670 0.341 Cd
```

Output
* VASP energy: -0.1114 hartree per atom

[6]
# Mg3Ga2Ag4

A relaxed Mg3Ga2Ag4 crystal (PBE, Alexandria via LeMat-Bulk).

Cell and atoms, written as POSCAR:
```
Mg3Ga2Ag4
1.0
-2.535 -0.380 -3.993
1.726 -3.872 2.093
-7.149 -0.304 4.568
Ag Mg Ga
4 3 2
direct
0.977 0.954 0.667 Ag
0.324 0.649 0.890 Ag
0.676 0.351 0.110 Ag
0.023 0.046 0.333 Ag
0.350 0.700 0.228 Mg
0.000 0.000 0.000 Mg
0.650 0.300 0.772 Mg
0.685 0.370 0.432 Ga
0.315 0.630 0.568 Ga
```

Output
* formation energy from the elements: -0.160 eV/atom
* energy above the lowest structure with this stoichiometry: 0.000 eV/atom

[7]
# CaMg3O

A relaxed CaMg3O crystal (PBE, Alexandria via LeMat-Bulk).

Cell and atoms, written as POSCAR:
```
CaMg3O
1.0
4.659 0.000 0.000
0.000 4.659 0.000
0.000 0.000 4.659
Ca O Mg
1 1 3
direct
0.500 0.500 0.500 Ca
0.000 0.000 0.000 O
0.500 0.000 0.000 Mg
0.000 0.000 0.500 Mg
0.000 0.500 0.000 Mg
```

Output
* energy relative to the elements, uncorrected: -624 meV per atom
* energy above the lowest structure with this stoichiometry: 0.000 eV/atom

[8]
# Sm5S4N

A relaxed Sm5S4N crystal (PBE, Alexandria via LeMat-Bulk).

Cell and atoms, written as POSCAR:
```
Sm5S4N
1.0
-3.576 0.878 -1.389
-1.640 -2.136 2.871
2.204 11.962 7.461
Sm S N
5 4 1
direct
0.702 0.702 0.405 Sm
0.298 0.298 0.595 Sm
0.086 0.086 0.171 Sm
0.500 0.500 0.000 Sm
0.914 0.914 0.829 Sm
0.400 0.400 0.801 S
0.600 0.600 0.199 S
0.195 0.195 0.391 S
0.805 0.805 0.609 S
0.000 0.000 0.000 N
```

Output
* energy relative to the elements, uncorrected: -1874 meV per atom

[9]
# PrNd4Pt2

A relaxed PrNd4Pt2 crystal (PBE, Alexandria via LeMat-Bulk).

Cell and atoms, written as POSCAR:
```
PrNd4Pt2
1.0
6.738 0.000 0.000
0.000 7.328 -3.139
0.000 -0.007 8.325
Nd Pr Pt
8 2 4
direct
0.250 0.253 0.351 Nd
0.750 0.747 0.649 Nd
0.510 0.409 0.767 Nd
0.250 0.987 0.617 Nd
0.010 0.591 0.233 Nd
0.490 0.591 0.233 Nd
0.750 0.013 0.383 Nd
0.990 0.409 0.767 Nd
0.250 0.853 0.976 Pr
0.750 0.147 0.024 Pr
0.750 0.752 0.007 Pt
0.250 0.627 0.598 Pt
0.750 0.373 0.402 Pt
0.250 0.248 0.993 Pt
```

Output
* formation energy from the elements: -0.586 eV/atom

[10]
# LaBe2Al

A relaxed LaBe2Al crystal (PBE, Alexandria via LeMat-Bulk).

Cell and atoms, written as POSCAR:
```
LaBe2Al
1.0
6.243 0.021 0.010
4.124 4.688 -0.010
-5.003 -2.752 2.525
Be Al La
2 1 1
direct
0.784 0.284 0.500 Be
0.901 0.901 0.000 Be
0.280 0.780 0.500 Al
0.536 0.536 0.000 La
```

Output
* formation energy from the elements: 0.124 eV/atom

[11]
# Ba2ZrMn

A relaxed Ba2ZrMn crystal (PBE, Alexandria via LeMat-Bulk).

Cell and atoms, written as POSCAR:
```
Ba2ZrMn
1.0
-0.578 0.030 5.453
-2.245 4.336 2.496
-4.994 -0.401 2.230
Zr Ba Mn
1 2 1
direct
0.500 0.500 0.500 Zr
0.250 0.250 0.250 Ba
0.750 0.750 0.750 Ba
0.000 0.000 0.000 Mn
```

Output
* formation energy from the elements: 1.375 eV/atom
* energy above the lowest structure with this stoichiometry: 0.986 eV/atom

[12]
# La3SnO

A relaxed La3SnO crystal (PBE, Alexandria via LeMat-Bulk).

Cell and atoms, written as POSCAR:
```
La3SnO
1.0
-1.056 -2.784 3.824
1.867 -8.900 -2.888
5.931 4.534 1.866
O Sn La
2 2 6
direct
0.565 0.686 0.535 O
0.936 0.540 0.130 O
0.311 0.325 0.667 Sn
0.189 0.902 0.998 Sn
0.750 0.113 0.333 La
0.416 0.618 0.168 La
0.750 0.613 0.833 La
0.499 0.970 0.687 La
0.085 0.609 0.497 La
0.001 0.257 0.979 La
```

Output
* energy relative to the elements, uncorrected: -1453 meV per atom

no.,total magnetic moment (μB per formula unit)
1,0.00
2,0.00
3,3.77
4,0.00
5,0.00
6,0.00
7,0.00
8,0.00
9,0.00
10,0.00
11,0.00
12,0.00